VASP calculation (GGA-PBEsol) on a geometry-optimized YBe2P structure.

a = 3.8501 Å, b = 3.8501 Å, c = 5.1265 Å
α = 108.56°, β = 108.56°, γ = 54.63°
Fractional positions:
Y: 0.0000 0.0000 0.0000
Be: 0.2407 0.2407 0.6235
Be: 0.5236 0.5236 0.5433
P: 0.7800 0.7800 0.3917

Summary:
Electronic total energy, eV/atom: -5.624

***

VASP calculation (GGA-PBEsol) on a geometry-optimized KRb2GeN structure.

a = 6.5375 Å, b = 6.5375 Å, c = 4.3418 Å
α = 90.00°, β = 90.00°, γ = 90.00°
Fractional positions:
K: 0.0000 0.0000 0.0000
Rb: 0.0000 0.5000 0.0000
Rb: 0.5000 0.0000 0.0000
Ge: 0.5000 0.5000 0.5000
N: 0.0000 0.0000 0.5000

Summary:
E_form (uncorrected), eV/atom: 1.041
Electronic total energy, eV/atom: -2.289

***

Q: Look up the electronic total energy of the first one.
A: -5.624 eV/atom

***

Q: The lowest electronic total energy belongs to which entry?
A: YBe2P

***

What did the first record say?
VASP calculation (GGA-PBEsol) on a geometry-optimized YBe2P structure.

a = 3.8501 Å, b = 3.8501 Å, c = 5.1265 Å
α = 108.56°, β = 108.56°, γ = 54.63°
Fractional positions:
Y: 0.0000 0.0000 0.0000
Be: 0.2407 0.2407 0.6235
Be: 0.5236 0.5236 0.5433
P: 0.7800 0.7800 0.3917

Summary:
Electronic total energy, eV/atom: -5.624